(1)
A plane-wave DFT calculation with PBE was carried out for DyZr2Nb after structural relaxation.

## Properties
The relative energy among the computed polymorphs comes out at 0.0000 eV per atom. The calculation puts the formation energy at 0.0960 eV per atom. The calculation puts the final energy at -7.846 eV per atom. As for the space group: P4/mmm, No. 123.

Lattice parameters (Å, degrees): 3.5897 3.5897 7.3704 90.00 90.00 90.00
With the nearest neighbours (Å) after each atom.
Atoms (fractional coordinates):
1 Dy 0.0000 0.0000 0.0000  8 Zr 3.34, 4 Dy 3.59, 2 Nb 3.69
2 Zr 0.5000 0.5000 0.2951  4 Nb 2.95, 1 Zr 3.02
3 Zr 0.5000 0.5000 0.7049  4 Nb 2.95, 1 Zr 3.02
4 Nb 0.0000 0.0000 0.5000  8 Zr 2.95

***

(2)
A plane-wave DFT calculation with PBE was carried out for ZrTcBr after structural relaxation.

## Properties
The value obtained for the uncorrected formation energy is -0.067 eV per atom. The relative energy among the computed polymorphs comes out at 0.0000 eV per atom. The calculation puts the final energy at -6.929 eV per atom. As for the space group: P3m1, No. 156.

Lattice parameters (Å, degrees): 3.3566 3.3566 6.6381 90.00 90.00 120.00
With the nearest neighbours (Å) after each atom.
Atoms (fractional coordinates):
1 Zr 0.0000 0.0000 0.0000  3 Tc 2.65, 3 Br 2.87
2 Tc 0.6667 0.3333 0.7280  3 Zr 2.65
3 Br 0.3333 0.6667 0.3194  3 Zr 2.87

***

(3)
A plane-wave DFT calculation with PBE was carried out for ZrTl2Cl after structural relaxation.

## Properties
The value obtained for the uncorrected formation energy is -0.319 eV per atom. The relative energy among the computed polymorphs comes out at 0.2244 eV per atom. The calculation puts the final energy at -4.101 eV per atom. As for the space group: Amm2, No. 38.

Lattice parameters (Å, degrees): 4.7961 6.0375 6.0375 34.09 90.00 90.00
With the nearest neighbours (Å) after each atom.
Atoms (fractional coordinates):
1 Zr 0.0000 0.0000 0.0000  2 Cl 2.76, 1 Tl 3.06
2 Tl 0.0000 0.7348 0.7348  3 Zr 3.06-3.24, 4 Cl 3.27
3 Tl 0.5000 0.3974 0.3974  3 Cl 3.10-3.23, 4 Zr 3.21
4 Cl 0.5000 0.1178 0.1178  2 Zr 2.76

***

(4)
A plane-wave DFT calculation with PBE was carried out for TaZn2TcH after structural relaxation.

## Properties
The calculation puts the final energy at -5.481 eV per atom. As for the space group: P4/mmm, No. 123.

Lattice parameters (Å, degrees): 3.9080 3.9080 4.1321 90.00 90.00 90.00
With the nearest neighbours (Å) after each atom.
Atoms (fractional coordinates):
1 Ta 0.0000 0.0000 0.0000  2 H 2.07
2 Zn 0.0000 0.5000 0.5000  2 H 1.95
3 Zn 0.5000 0.0000 0.5000  2 H 1.95
4 Tc 0.5000 0.5000 0.0000  4 Ta 2.76, 8 Zn 2.84
5 H 0.0000 0.0000 0.5000  4 Zn 1.95, 2 Ta 2.07

***

(5)
A plane-wave DFT calculation with PBE was carried out for SrY2IrPt after structural relaxation.

## Properties
The calculation puts the formation energy at -0.2290 eV per atom. The calculation puts the final energy at -6.131 eV per atom. As for the space group: P4/mmm, No. 123.

Lattice parameters (Å, degrees): 5.2380 5.2380 5.3368 90.00 90.00 90.00
With the nearest neighbours (Å) after each atom.
Atoms (fractional coordinates):
1 Sr 0.0000 0.0000 0.0000  4 Pt 3.70, 8 Y 3.74
2 Y 0.0000 0.5000 0.5000  2 Ir 2.62
3 Y 0.5000 0.0000 0.5000  2 Ir 2.62
4 Ir 0.5000 0.5000 0.5000  4 Y 2.62, 2 Pt 2.67
5 Pt 0.5000 0.5000 0.0000  2 Ir 2.67

***

(6)
A plane-wave DFT calculation with PBE was carried out for Sr2Se after structural relaxation.

## Properties
The value obtained for the uncorrected formation energy is -1.170 eV per atom. The calculation puts the final energy at -3.452 eV per atom. As for the space group: C2/m, No. 12.

Lattice parameters (Å, degrees): 6.6656 6.6656 10.6285 121.67 121.67 36.18
With the nearest neighbours (Å) after each atom.
Atoms (fractional coordinates):
1 Sr 0.0602 0.0602 0.3620  3 Se 3.12-3.21
2 Sr 0.3172 0.3172 0.8856  2 Se 3.11
3 Sr 0.6828 0.6828 0.1144  2 Se 3.11
4 Sr 0.9398 0.9398 0.6380  3 Se 3.12-3.21
5 Se 0.3190 0.3190 0.3747  5 Sr 3.11-3.21
6 Se 0.6810 0.6810 0.6253  5 Sr 3.11-3.21

***

(7)
A plane-wave DFT calculation with PBE was carried out for Na2In5Sn2 after structural relaxation.

## Properties
The calculation puts the formation energy at -0.0216 eV per atom. The calculation puts the final energy at -2.726 eV per atom. As for the space group: Ima2, No. 46.

Lattice parameters (Å, degrees): 10.5468 10.5468 10.5468 60.80 141.74 134.63
With the nearest neighbours (Å) after each atom.
Atoms (fractional coordinates):
1 Na 0.1304 0.0890 0.2194  4 In 3.20-3.51, 2 Sn 3.29-3.31
2 Na 0.1304 0.4110 0.5414  4 In 3.20-3.51, 2 Sn 3.29-3.31
3 Na 0.8696 0.5890 0.4586  4 In 3.20-3.51, 2 Sn 3.29-3.31
4 Na 0.8696 0.9110 0.7806  4 In 3.20-3.51, 2 Sn 3.29-3.31
5 In 0.1315 0.7321 0.8995  1 Sn 3.12, 4 In 3.18-3.20
6 In 0.1952 0.4120 0.9469  3 Sn 3.22-3.53, 3 In 3.23-3.51, 1 Na 3.26
7 In 0.1952 0.7483 0.2832  3 Sn 3.22-3.53, 3 In 3.23-3.51, 1 Na 3.26
8 In 0.4651 0.2483 0.0531  3 Sn 3.22-3.53, 3 In 3.23-3.51, 1 Na 3.26
9 In 0.4651 0.9120 0.7168  3 Sn 3.22-3.53, 3 In 3.23-3.51, 1 Na 3.26
10 In 0.6573 0.3256 0.6680  5 In 2.98-3.29, 2 Sn 3.06-3.24, 2 Na 3.20-3.26
11 In 0.6573 0.4893 0.8317  5 In 2.98-3.29, 2 Sn 3.06-3.24, 2 Na 3.20-3.26
12 In 0.6576 0.8256 0.1683  5 In 2.98-3.29, 2 Sn 3.06-3.24, 2 Na 3.20-3.26
13 In 0.6576 0.9893 0.3320  5 In 2.98-3.29, 2 Sn 3.06-3.24, 2 Na 3.20-3.26
14 In 0.8326 0.2321 0.1005  1 Sn 3.12, 4 In 3.18-3.20
15 Sn 0.1775 0.0426 0.6348  5 In 3.12-3.41
16 Sn 0.4078 0.5426 0.3652  5 In 3.12-3.41
17 Sn 0.6651 0.1651 0.5000  6 In 3.06-3.24, 4 Na 3.29-3.31
18 Sn 0.6651 0.6651 0.0000  6 In 3.06-3.24, 4 Na 3.29-3.31

***

(8)
A plane-wave DFT calculation with PBE was carried out for MnZnPt2 after structural relaxation.

## Properties
The calculation puts the formation energy at -0.4007 eV per atom. The calculation puts the final energy at -6.032 eV per atom. As for the space group: I-4m2, No. 119.

Lattice parameters (Å, degrees): 4.9010 4.9010 4.9010 134.19 134.19 66.80
With the nearest neighbours (Å) after each atom.
Atoms (fractional coordinates):
1 Mn 0.0000 0.0000 0.0000  8 Pt 2.70-2.80, 4 Zn 2.80
2 Zn 0.7500 0.2500 0.5000  8 Pt 2.70-2.80, 4 Mn 2.80
3 Pt 0.2500 0.7500 0.5000  4 Zn 2.70, 4 Pt 2.80, 4 Mn 2.80
4 Pt 0.5000 0.5000 0.0000  4 Mn 2.70, 4 Pt 2.80, 4 Zn 2.80